[1]
The following is a PBEsol calculation of Sr2InCl after structural relaxation, from the Alexandria database.

a b c (Å): 7.4539 7.4539 7.4539
angles (deg): 144.79 144.79 50.65
Closest atoms and distances in Å follow each position.
Positions (direct):
Sr1 0.0000 0.0000 0.0000  4 Cl 3.19
Sr2 0.7500 0.2500 0.5000  4 In 3.19
In1 0.2500 0.7500 0.5000  4 Sr 3.19
Cl1 0.5000 0.5000 0.0000  4 Sr 3.19

Values from the calculation:
Energy above the lowest structure with this stoichiometry ... 0.3301 eV per atom
Fermi-level density of states ... 2.29 states/eV per cell
V ... 137.0 Å³/f.u.
Formation energy without anion corrections ... -0.774 eV per atom

[2]
The following is a PBEsol calculation of Sr2InCl after structural relaxation, from the Alexandria database.

a b c (Å): 4.1201 3.8063 8.5839
angles (deg): 90.00 90.07 90.00
Closest atoms and distances in Å follow each position.
Positions (direct):
Sr1 0.0005 0.0000 0.2317  2 Cl 2.99
Sr2 0.9995 0.0000 0.7683  2 Cl 2.99
In1 0.5000 0.5000 0.0000  8 Sr 3.44, 2 In 3.81
Cl1 0.0000 0.5000 0.5000  4 Sr 2.99

Values from the calculation:
Energy above the lowest structure with this stoichiometry ... 0.0000 eV per atom
Fermi-level density of states ... 1.81 states/eV per cell
V ... 134.6 Å³/f.u.
Formation energy without anion corrections ... -1.104 eV per atom

[3]
The following is a PBEsol calculation of SrInCl2 after structural relaxation, from the Alexandria database.

a b c (Å): 5.5613 5.5613 5.1060
angles (deg): 112.87 112.87 100.00
Closest atoms and distances in Å follow each position.
Positions (direct):
Sr1 0.0000 0.0000 0.0000  4 Cl 2.95
In1 0.5000 0.5000 0.0000  4 Cl 2.95
Cl1 0.0000 0.5000 0.5000  2 In 2.95, 2 Sr 2.95
Cl2 0.5000 0.0000 0.5000  2 In 2.95, 2 Sr 2.95

Values from the calculation:
Energy above the lowest structure with this stoichiometry ... 0.1716 eV per atom
Fermi-level density of states ... 1.90 states/eV per cell
V ... 123.9 Å³/f.u.
Formation energy without anion corrections ... -1.263 eV per atom

[4]
The following is a PBEsol calculation of SrInCl2 after structural relaxation, from the Alexandria database.

a b c (Å): 4.0102 4.4193 5.9824
angles (deg): 90.00 90.00 90.00
Closest atoms and distances in Å follow each position.
Positions (direct):
Sr1 0.0000 0.0000 0.0000  4 Cl 2.98
In1 0.5000 0.0000 0.5000  4 Cl 2.98
Cl1 0.0000 0.5000 0.5000  4 In 2.98
Cl2 0.5000 0.5000 0.0000  4 Sr 2.98

Values from the calculation:
Energy above the lowest structure with this stoichiometry ... 0.1397 eV per atom
Fermi-level density of states ... 2.66 states/eV per cell
V ... 106.0 Å³/f.u.
Formation energy without anion corrections ... -1.295 eV per atom

Number 1: raw total energy -2.94 eV/atom. Number 2: raw total energy -3.27 eV/atom. Number 3: raw total energy -3.47 eV/atom. Number 4: raw total energy -3.50 eV/atom.